Mn4Cu3BiO12 | GGA+U | optimized geometry

Output
For the density of states at the Fermi level, the calculation gives 0.2877 states/eV per atom. Its calculated total energy is -6.40 eV per atom.

Unit cell a=6.470 b=6.470 c=6.470 alpha=109.47 beta=109.47 gamma=109.47
Fractional positions:
Mn (0.000, 0.000, 0.500)
Mn (0.000, 0.500, 0.000)
Mn (0.500, 0.000, 0.000)
Mn (0.500, 0.500, 0.500)
Cu (0.000, 0.500, 0.500)
Cu (0.500, 0.000, 0.500)
Cu (0.500, 0.500, 0.000)
Bi (0.000, 0.000, 0.000)
O (0.139, 0.309, 0.829)
O (0.171, 0.480, 0.309)
O (0.171, 0.861, 0.691)
O (0.309, 0.171, 0.480)
O (0.309, 0.829, 0.139)
O (0.480, 0.309, 0.171)
O (0.520, 0.691, 0.829)
O (0.691, 0.171, 0.861)
O (0.691, 0.829, 0.520)
O (0.829, 0.139, 0.309)
O (0.829, 0.520, 0.691)
O (0.861, 0.691, 0.171)